Record 1
Below is an optimized crystal structure of KPuReO6, with properties calculated at the GGA-PBE level.

Properties
**Final energy**: -8.517 eV per atom
**E_form (uncorrected)**: -2.114 eV/atom
**Fermi-level density of states**: 0.67 states/eV per atom

Geometry as POSCAR:
```
KPuReO6
1.0
-4.1015 1.5477 -6.3217
0.2740 -7.1749 -1.9343
-2.6553 1.9002 6.8687
Re K O Pu
2 2 12 2
direct
0.5000 0.5000 0.0000
0.5000 0.0000 0.0000
0.8883 0.6383 0.7765
0.1117 0.3617 0.2235
0.8300 0.0800 0.6599
0.4602 0.7102 0.9204
0.2027 0.3391 0.7582
0.7973 0.0809 0.2418
0.5398 0.2898 0.0796
0.5555 0.3391 0.7582
0.7973 0.6609 0.2418
0.1700 0.9200 0.3401
0.4445 0.6609 0.2418
0.5555 0.9191 0.7582
0.2027 0.9191 0.7582
0.4445 0.0809 0.2418
0.5000 0.0000 0.5000
0.0000 0.0000 0.5000
```



Record 2
Below is an optimized crystal structure of KPu2ReO8, with properties calculated at the GGA-PBE level.

Properties
**Final energy**: -9.056 eV per atom
**E_form (uncorrected)**: -2.233 eV/atom
**Fermi-level density of states**: 0.73 states/eV per atom

Geometry as POSCAR:
```
KPu2ReO8
1.0
5.0673 0.0273 -0.0033
0.0721 5.0331 -0.0053
0.0051 0.0079 6.9851
O K Re Pu
8 1 1 2
direct
0.8122 0.1930 0.8107
0.1878 0.8070 0.1893
0.6593 0.6706 0.5000
0.3407 0.3294 0.5000
0.8121 0.1930 0.1893
0.2824 0.2788 0.0000
0.7176 0.7212 0.0000
0.1879 0.8070 0.8107
0.0000 0.0000 0.5000
0.0000 0.0000 0.0000
0.5000 0.5000 0.2491
0.5000 0.5000 0.7509
```



Record 3
Below is an optimized crystal structure of K2PuRh3O12, with properties calculated at the GGA-PBE level.

Properties
**Final energy**: -6.646 eV per atom
**E_form (uncorrected)**: -1.197 eV/atom
**Fermi-level density of states**: 0.99 states/eV per atom

Geometry as POSCAR:
```
K2PuRh3O12
1.0
-0.8915 6.7821 -2.9611
-0.3461 1.1383 -7.3583
-6.2821 2.0703 -3.4365
Rh O K Pu
3 12 2 1
direct
0.5000 0.0000 0.0000
0.0000 0.0000 0.5000
0.0000 0.5000 0.0000
0.9286 0.9286 0.3263
0.0714 0.6737 0.0714
0.0796 0.6804 0.6804
0.6804 0.0796 0.6804
0.9286 0.3263 0.9286
0.3196 0.9204 0.3196
0.3196 0.3196 0.9204
0.9204 0.3196 0.3196
0.6804 0.6804 0.0796
0.3263 0.9286 0.9286
0.6737 0.0714 0.0714
0.0714 0.0714 0.6737
0.3896 0.3896 0.3896
0.6104 0.6104 0.6104
0.0000 0.0000 0.0000
```



Record 4
Below is an optimized crystal structure of K2PuRhO4, with properties calculated at the GGA-PBE level.

Properties
**Final energy**: -7.210 eV per atom
**E_form (uncorrected)**: -1.746 eV/atom
**Fermi-level density of states**: 0.67 states/eV per atom

Geometry as POSCAR:
```
K2PuRhO4
1.0
3.3107 0.0000 0.0000
0.0000 6.7874 -0.5078
0.0000 -3.0771 6.2630
O Pu K Rh
4 1 2 1
direct
0.5000 0.7803 0.9150
0.0000 0.6550 0.2338
0.0000 0.3450 0.7662
0.5000 0.2197 0.0850
0.5000 0.5000 0.0000
0.5000 0.0000 0.5000
0.0000 0.5000 0.5000
0.0000 0.0000 0.0000
```



Record 5
Below is an optimized crystal structure of KPu2RuO8, with properties calculated at the GGA-PBE level.

Properties
**Final energy**: -8.479 eV per atom
**E_form (uncorrected)**: -1.920 eV/atom
**Fermi-level density of states**: 0.58 states/eV per atom

Geometry as POSCAR:
```
KPu2RuO8
1.0
-5.2644 0.3528 1.9565
2.0640 -4.9707 -1.6427
2.3507 -1.1848 6.5387
O Pu K Ru
8 2 1 1
direct
0.3333 0.6667 0.8623
0.6527 0.9297 0.3673
0.9297 0.2769 0.6327
0.2769 0.3473 0.3673
0.7231 0.6527 0.6327
0.6667 0.3333 0.1377
0.3473 0.0703 0.6327
0.0703 0.7231 0.3673
0.6667 0.3333 0.4018
0.3333 0.6667 0.5982
0.0000 0.0000 0.0000
0.0000 0.0000 0.5000
```



Record 6
Below is an optimized crystal structure of K2Pu3RuO12, with properties calculated at the GGA-PBE level.

Properties
**Final energy**: -8.490 eV per atom
**E_form (uncorrected)**: -2.159 eV/atom
**Fermi-level density of states**: 0.64 states/eV per atom

Geometry as POSCAR:
```
K2Pu3RuO12
1.0
-2.4196 -5.1634 -4.8715
0.8571 -7.1995 1.9181
-6.1843 -3.8241 1.8378
O Pu K Ru
12 3 2 1
direct
0.6782 0.0558 0.6782
0.6782 0.6782 0.0558
0.6959 0.0607 0.0607
0.0607 0.6959 0.0607
0.3218 0.3218 0.9442
0.3218 0.9442 0.3218
0.9393 0.3041 0.9393
0.9393 0.9393 0.3041
0.0607 0.0607 0.6959
0.3041 0.9393 0.9393
0.0558 0.6782 0.6782
0.9442 0.3218 0.3218
0.0000 0.5000 0.0000
0.5000 0.0000 0.0000
0.0000 0.0000 0.5000
0.6470 0.6470 0.6470
0.3530 0.3530 0.3530
0.0000 0.0000 0.0000
```



Record 7
Below is an optimized crystal structure of K2PuRuO6, with properties calculated at the GGA-PBE level.

Properties
**Final energy**: -7.452 eV per atom
**E_form (uncorrected)**: -1.897 eV/atom
**Fermi-level density of states**: 0.39 states/eV per atom

Geometry as POSCAR:
```
K2PuRuO6
1.0
-3.5956 -1.7967 4.1526
0.0950 -5.3330 -2.2249
4.9500 2.6343 1.4038
Ru O K Pu
1 6 2 1
direct
0.9999 0.0004 0.9998
0.7543 0.2460 0.9998
0.2453 0.2458 0.9997
0.2455 0.7548 0.9998
0.7548 0.7552 0.5096
0.2451 0.2456 0.4900
0.7545 0.7550 0.0000
0.7498 0.2504 0.4997
0.2499 0.7503 0.4997
0.4999 0.5004 0.9998
```



Record 8
Below is an optimized crystal structure of K2PuSO6, with properties calculated at the GGA-PBE level.

Properties
**Final energy**: -6.741 eV per atom
**E_form (uncorrected)**: -1.701 eV/atom
**Fermi-level density of states**: 0.30 states/eV per atom

Geometry as POSCAR:
```
K2PuSO6
1.0
5.5841 0.0000 0.0005
0.0000 5.5841 0.0005
2.7925 2.7925 5.0256
K Pu O S
2 1 6 1
direct
0.7501 0.2499 0.5000
0.2499 0.7501 0.5000
0.0000 0.0000 0.0000
0.1865 0.1865 0.6275
0.7227 0.7225 0.9996
0.8135 0.8135 0.3725
0.2773 0.2775 0.0004
0.7223 0.2775 0.0000
0.2777 0.7225 0.0000
0.5000 0.5000 0.0000
```



Record 9
Below is an optimized crystal structure of KPuS2O8, with properties calculated at the GGA-PBE level.

Properties
**Final energy**: -7.189 eV per atom
**E_form (uncorrected)**: -1.910 eV/atom
**Fermi-level density of states**: 0.73 states/eV per atom

Geometry as POSCAR:
```
KPuS2O8
1.0
5.5519 0.0000 0.0000
-2.7759 4.8081 0.0000
0.0000 0.0000 8.0283
O K S Pu
8 1 2 1
direct
0.1874 0.3749 0.8155
0.3749 0.1874 0.1845
0.6251 0.8126 0.8155
0.1874 0.8126 0.8155
0.8126 0.6251 0.1845
0.6667 0.3333 0.4325
0.3333 0.6667 0.5675
0.8126 0.1874 0.1845
0.0000 0.0000 0.5000
0.3333 0.6667 0.7484
0.6667 0.3333 0.2516
0.0000 0.0000 0.0000
```



Record 10
Below is an optimized crystal structure of KPuSO, with properties calculated at the GGA-PBE level.

Properties
**Final energy**: -8.077 eV per atom
**E_form (uncorrected)**: -1.948 eV/atom
**Fermi-level density of states**: 1.53 states/eV per atom

Geometry as POSCAR:
```
KPuSO
1.0
3.7813 0.0000 0.0000
1.8907 3.2747 0.0000
1.8907 1.0916 6.9269
O S Pu K
1 1 1 1
direct
0.2739 0.2739 0.1784
0.7348 0.7348 0.7957
0.9870 0.9870 0.0391
0.5044 0.5044 0.4868
```



Record 11
Below is an optimized crystal structure of KPuSbO6, with properties calculated at the GGA-PBE level.

Properties
**Final energy**: -7.393 eV per atom
**E_form (uncorrected)**: -1.915 eV/atom
**Fermi-level density of states**: 0.42 states/eV per atom

Geometry as POSCAR:
```
KPuSbO6
1.0
5.5423 0.0000 0.0000
-2.7712 4.7998 0.0000
0.0000 0.0000 11.9135
Pu Sb O K
2 2 12 2
direct
0.3333 0.6667 0.2500
0.6667 0.3333 0.7500
0.3333 0.6667 0.7500
0.6667 0.3333 0.2500
0.6267 0.0075 0.3433
0.3733 0.9925 0.6567
0.9925 0.3733 0.1567
0.0075 0.3808 0.6567
0.9925 0.6192 0.3433
0.3808 0.0075 0.1567
0.3808 0.3733 0.3433
0.6192 0.6267 0.6567
0.3733 0.3808 0.8433
0.6192 0.9925 0.8433
0.0075 0.6267 0.8433
0.6267 0.6192 0.1567
0.0000 0.0000 0.0000
0.0000 0.0000 0.5000
```



Record 12
Below is an optimized crystal structure of K4Pu3ScO8, with properties calculated at the GGA-PBE level.

Properties
**Final energy**: -8.289 eV per atom
**E_form (uncorrected)**: -2.453 eV/atom
**Fermi-level density of states**: 0.82 states/eV per atom

Geometry as POSCAR:
```
K4Pu3ScO8
1.0
-0.8456 1.4423 6.7897
-0.0747 -7.2760 1.5363
5.5036 2.5732 -3.4619
O Pu K Sc
8 3 4 1
direct
0.7441 0.6832 0.9636
0.7804 0.3168 0.5608
0.2559 0.3168 0.0364
0.2196 0.6832 0.9636
0.2196 0.6832 0.4392
0.7804 0.3168 0.0364
0.7299 0.6897 0.4598
0.2701 0.3103 0.5402
0.5000 0.5000 0.0000
0.0000 0.5000 0.5000
0.5000 0.5000 0.5000
0.5000 0.0000 0.0000
0.0000 0.0000 0.0000
0.5000 0.0000 0.5000
0.0000 0.0000 0.5000
0.0000 0.5000 0.0000
```



Repeat the fifth record exactly.
Below is an optimized crystal structure of KPu2RuO8, with properties calculated at the GGA-PBE level.

Properties
**Final energy**: -8.479 eV per atom
**E_form (uncorrected)**: -1.920 eV/atom
**Fermi-level density of states**: 0.58 states/eV per atom

Geometry as POSCAR:
```
KPu2RuO8
1.0
-5.2644 0.3528 1.9565
2.0640 -4.9707 -1.6427
2.3507 -1.1848 6.5387
O Pu K Ru
8 2 1 1
direct
0.3333 0.6667 0.8623
0.6527 0.9297 0.3673
0.9297 0.2769 0.6327
0.2769 0.3473 0.3673
0.7231 0.6527 0.6327
0.6667 0.3333 0.1377
0.3473 0.0703 0.6327
0.0703 0.7231 0.3673
0.6667 0.3333 0.4018
0.3333 0.6667 0.5982
0.0000 0.0000 0.0000
0.0000 0.0000 0.5000
```